Entry 1:
## Tb2AlZn3 (PBE)

Data for Tb2AlZn3 after structural relaxation.

Structure (POSCAR):
```
Tb2AlZn3
1.0
5.726 -0.520 0.000
-0.742 5.702 0.000
-2.492 -2.591 7.751
Zn Al Tb
6 2 4
direct
0.167 0.167 0.333
0.833 0.833 0.667
0.168 0.666 0.834
0.334 0.832 0.166
0.666 0.168 0.834
0.832 0.334 0.166
0.665 0.665 0.331
0.335 0.335 0.669
0.250 0.750 0.500
0.757 0.757 0.000
0.243 0.243 0.000
0.750 0.250 0.500
```

Results
Energy above the lowest structure with this stoichiometry (eV per atom): 0.000
Density (Mg/m³): 7.2
Total DFT energy (no corrections) (eV for the cell shown): -38.59
ΔH_f (0 K) (eV per atom): -0.412
M_tot (μB per formula unit): 0.00



Entry 2:
## Tb4AlZn2 (PBE)

Data for Tb4AlZn2 after structural relaxation.

Structure (POSCAR):
```
Tb4AlZn2
1.0
4.800 0.000 1.500
2.166 4.284 1.500
-0.053 -0.033 8.602
Tb Al Zn
4 1 2
direct
0.382 0.382 0.855
0.129 0.129 0.613
0.618 0.618 0.145
0.871 0.871 0.387
0.000 0.000 0.000
0.255 0.255 0.235
0.745 0.745 0.765
```

Results
Density (Mg/m³): 7.4
Total DFT energy (no corrections) (eV for the cell shown): -26.29
ΔH_f (0 K) (eV per atom): -0.211
M_tot (μB per formula unit): 0.00



Entry 3:
## TbAl4Zn12 (PBE)

Data for TbAl4Zn12 after structural relaxation.

Structure (POSCAR):
```
TbAl4Zn12
1.0
-5.734 -4.998 -0.158
6.061 -3.198 3.303
-2.101 6.145 3.963
Zn Al Tb
12 4 1
direct
0.501 0.147 0.354
0.354 0.207 0.853
0.147 0.354 0.501
0.207 0.853 0.354
0.853 0.646 0.499
0.853 0.354 0.207
0.646 0.793 0.147
0.147 0.646 0.793
0.793 0.147 0.646
0.646 0.499 0.853
0.354 0.501 0.147
0.499 0.853 0.646
0.000 0.000 0.500
0.500 0.000 0.000
0.500 0.500 0.500
0.000 0.500 0.000
0.000 0.000 0.000
```

Results
Density (Mg/m³): 5.2
Total DFT energy (no corrections) (eV for the cell shown): -30.95
ΔH_f (0 K) (eV per atom): 0.231
M_tot (μB per formula unit): 0.00



Entry 4:
## Tb3AlZn2 (PBE)

Data for Tb3AlZn2 after structural relaxation.

Structure (POSCAR):
```
Tb3AlZn2
1.0
5.089 0.000 0.000
-2.544 4.407 0.000
0.000 0.000 12.506
Zn Tb Al
4 6 2
direct
0.000 0.000 0.000
0.333 0.667 0.168
0.667 0.333 0.832
0.000 0.000 0.500
0.000 0.000 0.752
0.667 0.333 0.583
0.667 0.333 0.081
0.333 0.667 0.919
0.333 0.667 0.417
0.000 0.000 0.248
0.667 0.333 0.333
0.333 0.667 0.667
```

Results
Density (Mg/m³): 7.5
Total DFT energy (no corrections) (eV for the cell shown): -44.67
ΔH_f (0 K) (eV per atom): -0.359
M_tot (μB per formula unit): 0.00



Entry 5:
## Tb2Al3Zn (PBE)

Data for Tb2Al3Zn after structural relaxation.

Structure (POSCAR):
```
Tb2Al3Zn
1.0
5.719 0.835 0.000
0.481 5.759 0.000
-3.100 -3.297 7.801
Tb Al Zn
4 6 2
direct
0.749 0.251 0.000
0.750 0.250 0.500
0.251 0.749 0.000
0.250 0.750 0.500
0.336 0.336 0.168
0.833 0.833 0.168
0.167 0.167 0.832
0.664 0.664 0.832
0.832 0.832 0.664
0.168 0.168 0.336
0.333 0.333 0.667
0.667 0.667 0.333
```

Results
Density (Mg/m³): 6.1
Total DFT energy (no corrections) (eV for the cell shown): -49.30
ΔH_f (0 K) (eV per atom): -0.481
M_tot (μB per formula unit): 0.00



Entry 6:
## TbAl6Zn12 (PBE)

Data for TbAl6Zn12 after structural relaxation.

Structure (POSCAR):
```
TbAl6Zn12
1.0
7.197 0.063 0.089
-1.723 6.988 0.089
-1.723 -2.219 6.627
Zn Al Tb
12 6 1
direct
0.500 0.107 0.893
0.893 0.107 0.500
0.500 0.893 0.107
0.107 0.500 0.893
0.125 0.366 0.366
0.634 0.634 0.875
0.107 0.893 0.500
0.366 0.125 0.366
0.875 0.634 0.634
0.634 0.875 0.634
0.893 0.500 0.107
0.366 0.366 0.125
0.711 0.304 0.304
0.696 0.696 0.289
0.304 0.711 0.304
0.696 0.289 0.696
0.289 0.696 0.696
0.304 0.304 0.711
0.000 0.000 0.000
```

Results
Density (Mg/m³): 5.5
Total DFT energy (no corrections) (eV for the cell shown): -41.41
ΔH_f (0 K) (eV per atom): 0.051
M_tot (μB per formula unit): 0.00



Entry 7:
## Tb6Al2Zn (PBE)

Data for Tb6Al2Zn after structural relaxation.

Structure (POSCAR):
```
Tb6Al2Zn
1.0
-0.310 0.100 5.001
-5.981 -3.890 -0.293
7.234 -4.419 -1.979
Tb Al Zn
6 2 1
direct
0.165 0.412 0.330
0.835 0.588 0.670
0.500 0.755 0.000
0.165 0.918 0.330
0.500 0.245 0.000
0.835 0.082 0.670
0.666 0.666 0.333
0.334 0.334 0.667
0.000 0.000 0.000
```

Results
Density (Mg/m³): 6.6
Total DFT energy (no corrections) (eV for the cell shown): -36.58
ΔH_f (0 K) (eV per atom): -0.004
M_tot (μB per formula unit): 0.00



Entry 8:
## Tb4AlZn3 (PBE)

Data for Tb4AlZn3 after structural relaxation.

Structure (POSCAR):
```
Tb4AlZn3
1.0
-2.566 2.468 0.565
-3.563 -3.497 -0.905
-0.143 -2.411 9.882
Tb Zn Al
4 3 1
direct
0.000 0.500 0.252
0.000 0.000 0.500
0.000 0.000 0.000
0.000 0.500 0.748
0.500 0.500 0.500
0.500 0.000 0.752
0.500 0.000 0.248
0.500 0.500 0.000
```

Results
Energy above the lowest structure with this stoichiometry (eV per atom): 0.000
Density (Mg/m³): 7.7
Total DFT energy (no corrections) (eV for the cell shown): -28.90
ΔH_f (0 K) (eV per atom): -0.352
M_tot (μB per formula unit): 0.00



Respective density of states at the Fermi level values: 0.75, 1.17, 0.68, 1.00, 0.49, 0.23, 1.48, 1.07 states/eV/atom.
Respective calculated volume values: 20.839, 25.334, 19.940, 23.372, 21.150, 17.726, 29.951, 23.255 A^3/atom.